Compound: TbErTh4
Source: the Alexandria database
Functional: PBE-GGA
Structure: relaxed

Geometry as POSCAR:
```
TbErTh4
1.0
-0.413 5.588 -1.095
0.954 -1.263 -6.800
-9.743 -0.952 -1.190
Er Th Tb
2 8 2
direct
0.000 0.250 0.000 Er
0.000 0.750 0.000 Er
0.000 0.500 0.332 Th
0.000 0.000 0.332 Th
0.000 0.000 0.668 Th
0.500 0.000 0.834 Th
0.000 0.500 0.668 Th
0.500 0.000 0.166 Th
0.500 0.500 0.166 Th
0.500 0.500 0.834 Th
0.500 0.250 0.500 Tb
0.500 0.750 0.500 Tb
```

Density ... 10.598 g cm⁻³
Formation energy from the elements ... 0.091 eV/atom
Density of states at the Fermi level ... 7.6 states/eV/f.u.
Magnetization ... 0.0 μB/cell



Compound: Tb6Er3Th
Source: the Alexandria database
Functional: PBE-GGA
Structure: relaxed

Geometry as POSCAR:
```
Tb6Er3Th
1.0
9.179 -2.584 0.408
0.561 6.303 -0.163
-2.118 -2.318 5.496
Th Er Tb
1 3 6
direct
0.000 0.000 0.000 Th
0.500 0.500 0.500 Er
0.500 0.000 0.500 Er
0.500 0.500 0.000 Er
0.158 0.236 0.619 Tb
0.689 0.111 0.111 Tb
0.842 0.381 0.764 Tb
0.842 0.764 0.381 Tb
0.158 0.619 0.236 Tb
0.311 0.889 0.889 Tb
```

Density ... 8.581 g cm⁻³
Formation energy from the elements ... 0.235 eV/atom
Density of states at the Fermi level ... 18.7 states/eV/f.u.
Magnetization ... 0.0 μB/cell



Compound: Tb3Er2Th4
Source: the Alexandria database
Functional: PBE-GGA
Structure: relaxed

Geometry as POSCAR:
```
Tb3Er2Th4
1.0
5.039 0.000 0.000
-2.519 4.959 -5.634
0.000 -2.520 14.358
Th Er Tb
4 2 3
direct
0.665 0.330 0.996 Th
0.890 0.779 0.666 Th
0.335 0.670 0.004 Th
0.110 0.221 0.334 Th
0.225 0.451 0.666 Er
0.775 0.549 0.334 Er
0.000 0.000 0.000 Tb
0.555 0.111 0.670 Tb
0.445 0.889 0.330 Tb
```

Density ... 10.055 g cm⁻³
Formation energy from the elements ... 0.035 eV/atom
Density of states at the Fermi level ... 12.4 states/eV/f.u.
Magnetization ... 0.0 μB/cell



Compound: Tb12Er6Th
Source: the Alexandria database
Functional: PBE-GGA
Structure: relaxed

Geometry as POSCAR:
```
Tb12Er6Th
1.0
8.437 0.697 0.835
-0.590 8.445 0.835
-0.590 -0.688 8.458
Tb Er Th
12 6 1
direct
0.989 0.796 0.647 Tb
0.647 0.989 0.796 Tb
0.204 0.353 0.011 Tb
0.562 0.223 0.460 Tb
0.540 0.438 0.777 Tb
0.438 0.777 0.540 Tb
0.011 0.204 0.353 Tb
0.460 0.562 0.223 Tb
0.796 0.647 0.989 Tb
0.777 0.540 0.438 Tb
0.223 0.460 0.562 Tb
0.353 0.011 0.204 Tb
0.745 0.905 0.306 Er
0.095 0.694 0.255 Er
0.255 0.095 0.694 Er
0.905 0.306 0.745 Er
0.694 0.255 0.095 Er
0.306 0.745 0.905 Er
0.000 0.000 0.000 Th
```

Density ... 8.485 g cm⁻³
Formation energy from the elements ... 0.142 eV/atom
Density of states at the Fermi level ... 32.7 states/eV/f.u.
Magnetization ... 0.0 μB/cell



Compound: Tb3Er4Th2
Source: the Alexandria database
Functional: PBE-GGA
Structure: relaxed

Geometry as POSCAR:
```
Tb3Er4Th2
1.0
3.496 0.000 -0.753
-0.752 8.764 -3.492
0.202 -0.576 9.433
Er Th Tb
4 2 3
direct
0.185 0.332 0.370 Er
0.482 0.667 0.963 Er
0.815 0.668 0.630 Er
0.518 0.333 0.037 Er
0.332 0.999 0.664 Th
0.668 0.001 0.336 Th
0.851 0.329 0.702 Tb
0.149 0.671 0.298 Tb
0.000 0.000 0.000 Tb
```

Density ... 9.447 g cm⁻³
Formation energy from the elements ... -0.002 eV/atom
Density of states at the Fermi level ... 12.5 states/eV/f.u.
Magnetization ... 0.0 μB/cell



Compound: Tb8ErTh6
Source: the Alexandria database
Functional: PBE-GGA
Structure: relaxed

Geometry as POSCAR:
```
Tb8ErTh6
1.0
7.803 0.250 3.964
2.539 7.382 3.964
0.339 0.250 8.745
Tb Th Er
8 6 1
direct
0.419 0.419 0.419 Tb
0.325 0.196 0.879 Tb
0.121 0.675 0.804 Tb
0.675 0.804 0.121 Tb
0.804 0.121 0.675 Tb
0.879 0.325 0.196 Tb
0.581 0.581 0.581 Tb
0.196 0.879 0.325 Tb
0.736 0.926 0.465 Th
0.264 0.074 0.535 Th
0.926 0.465 0.736 Th
0.535 0.264 0.074 Th
0.465 0.736 0.926 Th
0.074 0.535 0.264 Th
0.000 0.000 0.000 Er
```

Density ... 9.725 g cm⁻³
Formation energy from the elements ... 0.155 eV/atom
Density of states at the Fermi level ... 27.2 states/eV/f.u.
Magnetization ... 0.0 μB/cell



Compound: TbEr6Th
Source: the Alexandria database
Functional: PBE-GGA
Structure: relaxed

Geometry as POSCAR:
```
TbEr6Th
1.0
4.992 0.000 0.000
0.000 4.992 0.000
0.000 0.000 9.927
Er Tb Th
6 1 1
direct
0.500 0.000 0.748 Er
0.000 0.500 0.748 Er
0.500 0.000 0.252 Er
0.500 0.500 0.000 Er
0.500 0.500 0.500 Er
0.000 0.500 0.252 Er
0.000 0.000 0.000 Tb
0.000 0.000 0.500 Th
```

Density ... 9.360 g cm⁻³
Formation energy from the elements ... 0.031 eV/atom
Density of states at the Fermi level ... 12.0 states/eV/f.u.
Magnetization ... 0.0 μB/cell



Compound: TbEr2Th
Source: the Alexandria database
Functional: PBE-GGA
Structure: relaxed

Geometry as POSCAR:
```
TbEr2Th
1.0
3.365 -0.054 -1.200
-0.168 6.126 -0.752
0.423 1.459 11.795
Er Th Tb
4 2 2
direct
0.753 0.469 0.547 Er
0.759 0.636 0.055 Er
0.253 0.969 0.547 Er
0.259 0.136 0.055 Er
0.506 0.802 0.301 Th
0.006 0.302 0.301 Th
0.006 0.802 0.801 Tb
0.507 0.302 0.801 Tb
```

Density ... 9.632 g cm⁻³
Formation energy from the elements ... -0.008 eV/atom
Density of states at the Fermi level ... 5.4 states/eV/f.u.
Magnetization ... 0.0 μB/cell



Compound: TbEr5Th
Source: the Alexandria database
Functional: PBE-GGA
Structure: relaxed

Geometry as POSCAR:
```
TbEr5Th
1.0
10.472 0.000 0.000
0.000 6.541 0.000
-5.236 -3.270 3.243
Tb Er Th
1 5 1
direct
0.720 0.000 0.000 Tb
0.298 0.229 0.458 Er
0.372 0.771 0.000 Er
0.819 0.500 0.000 Er
0.372 0.229 0.000 Er
0.840 0.771 0.542 Er
0.111 0.500 0.000 Th
```

Density ... 9.174 g cm⁻³
Formation energy from the elements ... 0.292 eV/atom
Density of states at the Fermi level ... 9.8 states/eV/f.u.
Magnetization ... 0.0 μB/cell



Compound: TbEr2Th
Source: the Alexandria database
Functional: PBE-GGA
Structure: relaxed

Geometry as POSCAR:
```
TbEr2Th
1.0
3.548 0.000 0.000
1.774 3.073 0.000
1.774 1.024 11.522
Tb Er Th
1 2 1
direct
0.666 0.666 0.001 Tb
0.250 0.250 0.249 Er
0.083 0.083 0.752 Er
0.501 0.501 0.498 Th
```

Density ... 9.589 g cm⁻³
Formation energy from the elements ... 0.034 eV/atom
Density of states at the Fermi level ... 5.4 states/eV/f.u.
Magnetization ... 0.0 μB/cell



Compound: Tb12Er2Th5
Source: the Alexandria database
Functional: PBE-GGA
Structure: relaxed

Geometry as POSCAR:
```
Tb12Er2Th5
1.0
-0.175 6.002 3.717
0.083 -7.922 6.088
9.388 -1.914 3.533
Tb Th Er
12 5 2
direct
0.918 0.335 0.482 Tb
0.584 0.665 0.518 Tb
0.596 0.685 0.863 Tb
0.416 0.335 0.482 Tb
0.089 0.685 0.863 Tb
0.082 0.665 0.518 Tb
0.972 0.944 0.237 Tb
0.505 0.009 0.677 Tb
0.028 0.056 0.763 Tb
0.911 0.315 0.137 Tb
0.495 0.991 0.323 Tb
0.404 0.315 0.137 Tb
0.323 0.647 0.208 Th
0.677 0.353 0.792 Th
0.815 0.631 0.179 Th
0.000 0.000 0.500 Th
0.185 0.369 0.821 Th
0.716 0.000 0.000 Er
0.284 0.000 0.000 Er
```

Density ... 9.111 g cm⁻³
Formation energy from the elements ... 0.215 eV/atom
Density of states at the Fermi level ... 30.8 states/eV/f.u.
Magnetization ... 0.0 μB/cell



Compound: TbEr4Th
Source: the Alexandria database
Functional: PBE-GGA
Structure: relaxed

Geometry as POSCAR:
```
TbEr4Th
1.0
6.550 -0.705 0.000
-2.642 8.519 0.000
-1.954 -3.907 7.208
Er Tb Th
8 2 2
direct
0.748 0.714 0.613 Er
0.047 0.170 0.744 Er
0.803 0.426 0.256 Er
0.252 0.286 0.387 Er
0.953 0.830 0.256 Er
0.364 0.899 0.613 Er
0.197 0.574 0.744 Er
0.636 0.101 0.387 Er
0.338 0.588 0.177 Tb
0.662 0.412 0.823 Tb
0.250 0.000 0.000 Th
0.750 0.000 0.000 Th
```

Density ... 9.055 g cm⁻³
Formation energy from the elements ... 0.164 eV/atom
Density of states at the Fermi level ... 9.9 states/eV/f.u.
Magnetization ... 0.0 μB/cell